Below is a relaxed structure of RbNb2BPb, with properties calculated at the PBE level.

CIF file:
```
data_RbNb2BPb
_chemical_formula_sum 'Rb1 Nb2 B1 Pb1'
_symmetry_space_group_name_H-M 'P 4/m m m'
_symmetry_Int_Tables_number 123
_symmetry_space_group_name_Hall '-P 4 2'
_cell_length_a 4.542
_cell_length_b 4.542
_cell_length_c 5.598
_cell_angle_alpha 90.00
_cell_angle_beta 90.00
_cell_angle_gamma 90.00
loop_
_atom_site_label
_atom_site_fract_x
_atom_site_fract_y
_atom_site_fract_z
Rb1 0.000 0.000 0.000
Nb1 0.000 0.500 0.500
B1 0.000 0.000 0.500
Pb1 0.500 0.500 0.000
```

- Calculated total energy: -5.326 eV per atom
- Total magnetic moment: 0.0 μB/f.u.
- ΔE_f: 93.8 kJ per mole of atoms

---

Below is a relaxed structure of NbSiBPb2, with properties calculated at the PBE level.

CIF file:
```
data_NbSiBPb2
_chemical_formula_sum 'Nb1 Si1 B1 Pb2'
_symmetry_space_group_name_H-M 'P 4/m m m'
_symmetry_Int_Tables_number 123
_symmetry_space_group_name_Hall '-P 4 2'
_cell_length_a 5.325
_cell_length_b 5.325
_cell_length_c 4.829
_cell_angle_alpha 90.00
_cell_angle_beta 90.00
_cell_angle_gamma 90.00
loop_
_atom_site_label
_atom_site_fract_x
_atom_site_fract_y
_atom_site_fract_z
Nb1 0.000 0.000 0.000
Si1 0.000 0.000 0.500
B1 0.500 0.500 0.000
Pb1 0.000 0.500 0.500
```

- Formation energy without anion corrections: 1.65 eV/atom
- Calculated total energy: -4.264 eV per atom
- Total magnetic moment: 1.5 μB/f.u.

---

Below is a relaxed structure of NbB2Pd, with properties calculated at the PBE level.

CIF file:
```
data_NbB2Pd
_chemical_formula_sum 'Nb4 B8 Pd4'
_symmetry_space_group_name_H-M 'F m -3 m'
_symmetry_Int_Tables_number 225
_symmetry_space_group_name_Hall '-F 4 2 3'
_cell_length_a 5.674
_cell_length_b 5.674
_cell_length_c 5.674
_cell_angle_alpha 90.00
_cell_angle_beta 90.00
_cell_angle_gamma 90.00
loop_
_atom_site_label
_atom_site_fract_x
_atom_site_fract_y
_atom_site_fract_z
Nb1 0.000 0.000 0.000
B1 0.250 0.250 0.250
Pd1 0.000 0.000 0.500
```

- Calculated total energy: -6.807 eV per atom
- Total magnetic moment: 0.0 μB/f.u.
- ΔE_f: 33.5 kJ per mole of atoms

---

Below is a relaxed structure of NbB3Pd, with properties calculated at the PBE level.

CIF file:
```
data_NbB3Pd
_chemical_formula_sum 'Nb1 B3 Pd1'
_symmetry_space_group_name_H-M 'P m -3 m'
_symmetry_Int_Tables_number 221
_symmetry_space_group_name_Hall '-P 4 2 3'
_cell_length_a 4.214
_cell_length_b 4.214
_cell_length_c 4.214
_cell_angle_alpha 90.00
_cell_angle_beta 90.00
_cell_angle_gamma 90.00
loop_
_atom_site_label
_atom_site_fract_x
_atom_site_fract_y
_atom_site_fract_z
Nb1 0.000 0.000 0.000
B1 0.000 0.000 0.500
Pd1 0.500 0.500 0.500
```

- Calculated total energy: -5.486 eV per atom
- Total magnetic moment: 0.0 μB/f.u.
- ΔE_f: 151.8 kJ per mole of atoms

---

Below is a relaxed structure of NbB3Pd, with properties calculated at the PBE level.

CIF file:
```
data_NbB3Pd
_chemical_formula_sum 'Nb1 B3 Pd1'
_symmetry_space_group_name_H-M 'P m -3 m'
_symmetry_Int_Tables_number 221
_symmetry_space_group_name_Hall '-P 4 2 3'
_cell_length_a 3.993
_cell_length_b 3.993
_cell_length_c 3.993
_cell_angle_alpha 90.00
_cell_angle_beta 90.00
_cell_angle_gamma 90.00
loop_
_atom_site_label
_atom_site_fract_x
_atom_site_fract_y
_atom_site_fract_z
Nb1 0.000 0.000 0.000
B1 0.000 0.500 0.500
Pd1 0.500 0.500 0.500
```

- Calculated total energy: -5.723 eV per atom
- Total magnetic moment: 0.0 μB/f.u.
- ΔE_f: 128.9 kJ per mole of atoms

---

Below is a relaxed structure of NbB2Pd, with properties calculated at the PBE level.

CIF file:
```
data_NbB2Pd
_chemical_formula_sum 'Nb4 B8 Pd4'
_symmetry_space_group_name_H-M 'I -4 2 d'
_symmetry_Int_Tables_number 122
_symmetry_space_group_name_Hall 'I -4 2bw'
_cell_length_a 3.806
_cell_length_b 3.806
_cell_length_c 14.554
_cell_angle_alpha 90.00
_cell_angle_beta 90.00
_cell_angle_gamma 90.00
loop_
_atom_site_label
_atom_site_fract_x
_atom_site_fract_y
_atom_site_fract_z
Nb1 0.000 0.000 0.000
B1 0.003 0.250 0.625
Pd1 0.000 0.000 0.500
```

- Calculated total energy: -6.690 eV per atom
- Total magnetic moment: 0.0 μB/f.u.
- ΔE_f: 44.8 kJ per mole of atoms

---

Below is a relaxed structure of Nb2B2Pd, with properties calculated at the PBE level.

CIF file:
```
data_Nb2B2Pd
_chemical_formula_sum 'Nb4 B4 Pd2'
_symmetry_space_group_name_H-M 'P 4/m b m'
_symmetry_Int_Tables_number 127
_symmetry_space_group_name_Hall '-P 4 2ab'
_cell_length_a 6.076
_cell_length_b 6.076
_cell_length_c 3.346
_cell_angle_alpha 90.00
_cell_angle_beta 90.00
_cell_angle_gamma 90.00
loop_
_atom_site_label
_atom_site_fract_x
_atom_site_fract_y
_atom_site_fract_z
Nb1 0.177 0.323 0.000
B1 0.103 0.603 0.500
Pd1 0.000 0.000 0.500
```

- Calculated total energy: -8.260 eV per atom
- Total magnetic moment: 0.0 μB/f.u.
- ΔE_f: -50.4 kJ per mole of atoms

---

Below is a relaxed structure of NbB2PdPt, with properties calculated at the PBE level.

CIF file:
```
data_NbB2PdPt
_chemical_formula_sum 'Nb1 B2 Pd1 Pt1'
_symmetry_space_group_name_H-M 'P 4/m m m'
_symmetry_Int_Tables_number 123
_symmetry_space_group_name_Hall '-P 4 2'
_cell_length_a 3.981
_cell_length_b 3.981
_cell_length_c 5.375
_cell_angle_alpha 90.00
_cell_angle_beta 90.00
_cell_angle_gamma 90.00
loop_
_atom_site_label
_atom_site_fract_x
_atom_site_fract_y
_atom_site_fract_z
Nb1 0.000 0.000 0.000
B1 0.000 0.500 0.500
Pd1 0.500 0.500 0.000
Pt1 0.000 0.000 0.500
```

- Calculated total energy: -6.053 eV per atom
- Total magnetic moment: 0.0 μB/f.u.
- ΔE_f: 84.8 kJ per mole of atoms

---

Below is a relaxed structure of Nb2SiBPd, with properties calculated at the PBE level.

CIF file:
```
data_Nb2SiBPd
_chemical_formula_sum 'Nb2 Si1 B1 Pd1'
_symmetry_space_group_name_H-M 'P 4/m m m'
_symmetry_Int_Tables_number 123
_symmetry_space_group_name_Hall '-P 4 2'
_cell_length_a 4.793
_cell_length_b 4.793
_cell_length_c 3.607
_cell_angle_alpha 90.00
_cell_angle_beta 90.00
_cell_angle_gamma 90.00
loop_
_atom_site_label
_atom_site_fract_x
_atom_site_fract_y
_atom_site_fract_z
Nb1 0.000 0.500 0.000
Si1 0.000 0.000 0.000
B1 0.000 0.000 0.500
Pd1 0.500 0.500 0.500
```

- Formation energy without anion corrections: 0.78 eV/atom
- Calculated total energy: -6.708 eV per atom
- Total magnetic moment: 0.0 μB/f.u.

---

Below is a relaxed structure of NbB2TePd, with properties calculated at the PBE level.

CIF file:
```
data_NbB2TePd
_chemical_formula_sum 'Nb1 B2 Te1 Pd1'
_symmetry_space_group_name_H-M 'P 4/m m m'
_symmetry_Int_Tables_number 123
_symmetry_space_group_name_Hall '-P 4 2'
_cell_length_a 4.013
_cell_length_b 4.013
_cell_length_c 5.674
_cell_angle_alpha 90.00
_cell_angle_beta 90.00
_cell_angle_gamma 90.00
loop_
_atom_site_label
_atom_site_fract_x
_atom_site_fract_y
_atom_site_fract_z
Nb1 0.000 0.000 0.000
B1 0.000 0.500 0.500
Te1 0.500 0.500 0.000
Pd1 0.000 0.000 0.500
```

- Formation energy without anion corrections: 0.91 eV/atom
- Calculated total energy: -5.445 eV per atom
- Total magnetic moment: 0.6 μB/f.u.

---

Below is a relaxed structure of TiNbBPd2, with properties calculated at the PBE level.

CIF file:
```
data_TiNbBPd2
_chemical_formula_sum 'Ti1 Nb1 B1 Pd2'
_symmetry_space_group_name_H-M 'P 4/m m m'
_symmetry_Int_Tables_number 123
_symmetry_space_group_name_Hall '-P 4 2'
_cell_length_a 4.795
_cell_length_b 4.795
_cell_length_c 4.208
_cell_angle_alpha 90.00
_cell_angle_beta 90.00
_cell_angle_gamma 90.00
loop_
_atom_site_label
_atom_site_fract_x
_atom_site_fract_y
_atom_site_fract_z
Ti1 0.000 0.000 0.000
Nb1 0.500 0.500 0.500
B1 0.500 0.500 0.000
Pd1 0.000 0.500 0.500
```

- Calculated total energy: -5.935 eV per atom
- Total magnetic moment: 0.0 μB/f.u.
- ΔE_f: 103.3 kJ per mole of atoms

---

Below is a relaxed structure of NbTlB2Pd, with properties calculated at the PBE level.

CIF file:
```
data_NbTlB2Pd
_chemical_formula_sum 'Nb1 Tl1 B2 Pd1'
_symmetry_space_group_name_H-M 'P 4/m m m'
_symmetry_Int_Tables_number 123
_symmetry_space_group_name_Hall '-P 4 2'
_cell_length_a 4.065
_cell_length_b 4.065
_cell_length_c 5.518
_cell_angle_alpha 90.00
_cell_angle_beta 90.00
_cell_angle_gamma 90.00
loop_
_atom_site_label
_atom_site_fract_x
_atom_site_fract_y
_atom_site_fract_z
Nb1 0.000 0.000 0.000
Tl1 0.500 0.500 0.000
B1 0.000 0.500 0.500
Pd1 0.500 0.500 0.500
```

- Calculated total energy: -4.794 eV per atom
- Total magnetic moment: 0.2 μB/f.u.
- ΔE_f: 135.3 kJ per mole of atoms